[1]
{"formula": "NaNdV4O12", "functional": "GGA+U", "state": "relaxed", "lattice": [[-2.267, 3.572, 3.221], [-4.809, -1.686, -1.516], [0.004, -5.047, 5.600]], "species": ["Na", "Nd", "V", "V", "V", "V", "O", "O", "O", "O", "O", "O", "O", "O", "O", "O", "O", "O"], "frac_coords": [[0.500, 0.500, 0.000], [0.000, 0.000, 0.500], [0.000, 0.500, 0.755], [0.000, 0.500, 0.245], [0.500, 0.000, 0.755], [0.500, 0.000, 0.245], [0.246, 0.246, 0.256], [0.246, 0.246, 0.744], [0.754, 0.754, 0.744], [0.754, 0.754, 0.256], [0.754, 0.246, 0.744], [0.754, 0.246, 0.256], [0.246, 0.754, 0.744], [0.246, 0.754, 0.256], [0.000, 0.500, 0.500], [0.000, 0.500, 0.000], [0.500, 0.000, 0.500], [0.500, 0.000, 0.000]]}

=====

[2]
{"formula": "Na4Nd3VO8", "functional": "GGA+U", "state": "relaxed", "lattice": [[6.926, 0.000, 0.000], [0.000, 6.899, -0.039], [-3.463, -3.473, 4.919]], "species": ["Na", "Na", "Na", "Na", "Nd", "Nd", "Nd", "V", "O", "O", "O", "O", "O", "O", "O", "O"], "frac_coords": [[0.500, 0.000, 0.000], [0.500, 0.000, 0.500], [0.000, 0.000, 0.000], [0.000, 0.000, 0.500], [0.500, 0.500, 0.000], [0.500, 0.500, 0.500], [0.000, 0.500, 0.500], [0.000, 0.500, 0.000], [0.218, 0.704, 0.987], [0.238, 0.724, 0.477], [0.260, 0.279, 0.520], [0.769, 0.704, 0.987], [0.231, 0.296, 0.013], [0.740, 0.721, 0.480], [0.762, 0.276, 0.523], [0.782, 0.296, 0.013]]}

=====

[3]
{"formula": "NaNdWO5", "functional": "GGA+U", "state": "relaxed", "lattice": [[6.482, 0.700, -0.094], [-1.222, 6.404, -0.094], [-2.284, -3.085, 7.533]], "species": ["Na", "Na", "Nd", "Nd", "W", "W", "O", "O", "O", "O", "O", "O", "O", "O", "O", "O"], "frac_coords": [[0.306, 0.694, 0.250], [0.694, 0.306, 0.750], [0.000, 0.000, 0.500], [0.000, 0.000, 0.000], [0.640, 0.360, 0.250], [0.360, 0.640, 0.750], [0.078, 0.922, 0.250], [0.922, 0.078, 0.750], [0.758, 0.261, 0.078], [0.242, 0.739, 0.922], [0.739, 0.242, 0.422], [0.261, 0.758, 0.578], [0.706, 0.660, 0.349], [0.294, 0.340, 0.651], [0.340, 0.294, 0.151], [0.660, 0.706, 0.849]]}

=====

[4]
{"formula": "NaNdW2O8", "functional": "GGA+U", "state": "relaxed", "e_above_lowest_polymorph_ev_per_atom": 0.037, "lattice": [[-5.863, 2.031, 1.302], [2.360, -4.294, 4.022], [3.786, 5.073, 0.351]], "species": ["Na", "Nd", "W", "W", "O", "O", "O", "O", "O", "O", "O", "O"], "frac_coords": [[0.000, 0.000, 0.000], [0.250, 0.750, 0.500], [0.750, 0.250, 0.500], [0.500, 0.500, 0.000], [0.393, 0.077, 0.316], [0.343, 0.536, 0.193], [0.343, 0.149, 0.807], [0.761, 0.077, 0.684], [0.851, 0.657, 0.193], [0.923, 0.239, 0.316], [0.923, 0.607, 0.684], [0.464, 0.657, 0.807]]}

=====

[5]
{"formula": "Na5NdW4O16", "functional": "GGA+U", "state": "relaxed", "lattice": [[-3.726, -4.479, 8.294], [-5.648, -2.251, -8.110], [9.452, -3.313, -1.557]], "species": ["Na", "Na", "Na", "Na", "Na", "Na", "Na", "Na", "Na", "Na", "Nd", "Nd", "W", "W", "W", "W", "W", "W", "W", "W", "O", "O", "O", "O", "O", "O", "O", "O", "O", "O", "O", "O", "O", "O", "O", "O", "O", "O", "O", "O", "O", "O", "O", "O", "O", "O", "O", "O", "O", "O", "O", "O"], "frac_coords": [[0.238, 0.653, 0.826], [0.662, 0.988, 0.084], [0.500, 0.500, 0.000], [0.750, 0.250, 0.500], [0.588, 0.762, 0.416], [0.012, 0.097, 0.674], [0.423, 0.338, 0.326], [0.347, 0.173, 0.584], [0.903, 0.577, 0.916], [0.827, 0.412, 0.174], [0.000, 0.000, 0.000], [0.250, 0.750, 0.500], [0.889, 0.667, 0.587], [0.917, 0.830, 0.278], [0.552, 0.639, 0.722], [0.080, 0.302, 0.413], [0.361, 0.083, 0.913], [0.333, 0.920, 0.222], [0.698, 0.111, 0.778], [0.170, 0.448, 0.087], [0.381, 0.502, 0.176], [0.752, 0.076, 0.621], [0.455, 0.131, 0.379], [0.326, 0.205, 0.824], [0.869, 0.248, 0.324], [0.498, 0.674, 0.879], [0.795, 0.619, 0.121], [0.924, 0.545, 0.676], [0.103, 0.505, 0.236], [0.755, 0.019, 0.901], [0.117, 0.853, 0.099], [0.269, 0.867, 0.764], [0.147, 0.245, 0.264], [0.495, 0.731, 0.599], [0.133, 0.897, 0.401], [0.981, 0.883, 0.736], [0.143, 0.543, 0.967], [0.793, 0.326, 0.900], [0.426, 0.893, 0.100], [0.576, 0.176, 0.033], [0.967, 0.643, 0.446], [0.893, 0.947, 0.176], [0.771, 0.717, 0.824], [0.197, 0.521, 0.554], [0.283, 0.107, 0.054], [0.357, 0.803, 0.324], [0.479, 0.033, 0.676], [0.053, 0.229, 0.946], [0.674, 0.574, 0.467], [0.824, 0.857, 0.400], [0.457, 0.424, 0.600], [0.107, 0.207, 0.533]]}

=====

[6]
{"formula": "NaNdW2O8", "functional": "GGA+U", "state": "relaxed", "e_above_lowest_polymorph_ev_per_atom": 0.000, "lattice": [[-2.937, -3.174, -3.203], [-1.627, -2.819, 4.285], [-2.243, 6.555, 0.082]], "species": ["Na", "Nd", "W", "W", "O", "O", "O", "O", "O", "O", "O", "O"], "frac_coords": [[0.000, 0.000, 0.000], [0.750, 0.250, 0.500], [0.250, 0.750, 0.500], [0.500, 0.500, 0.000], [0.007, 0.906, 0.333], [0.326, 0.427, 0.333], [0.172, 0.264, 0.822], [0.651, 0.558, 0.822], [0.736, 0.349, 0.178], [0.442, 0.828, 0.178], [0.573, 0.993, 0.667], [0.094, 0.674, 0.667]]}

=====

Result set for uncorrected energy: -7.277; -6.542; -7.101; -7.325; -6.769; -7.361 eV per atom, one per record in the order listed.
Result set for density of states at the Fermi level: 0.1222; 0.0000; 0.0000; 0.0000; 0.0000; 0.0000 states/eV/atom, one per record in the order listed.